DFT (PBE-GGA) results for Hg2SeBr2 after structural relaxation.

As for the total energy: -1.81 eV/atom. The calculation puts the distance to the lowest polymorph of the same formula at 54 meV/atom. For the formation energy from raw total energies, the calculation gives -0.319 eV/atom.

It has space group C2/m (No. 12), with a = 13.116 Å, b = 7.386 Å, c = 8.879 Å, α = 90.00°, β = 113.84° and γ = 90.00°. The inequivalent atoms are Hg at (0.015, 0.000, 0.264), Hg at (0.175, 0.500, 0.584), Se at (0.160, 0.000, 0.151), Br at (0.025, 0.500, 0.295) and Br at (0.154, 0.000, 0.671).

DFT (PBE-GGA) results for CaYSe3 after structural relaxation.

As for the total energy: -4.97 eV/atom. The calculation puts the distance to the lowest polymorph of the same formula at 0 meV/atom. For the formation energy from raw total energies, the calculation gives -1.190 eV/atom.

It has space group Pm-3m (No. 221), with a = 5.434 Å, b = 5.434 Å, c = 5.434 Å, α = 90.00°, β = 90.00° and γ = 90.00°. The inequivalent atoms are Ca at (0.000, 0.000, 0.000), Y at (0.500, 0.500, 0.500) and Se at (0.000, 0.500, 0.500).

DFT (PBE-GGA) results for TcPF2 after structural relaxation.

As for the total energy: -5.56 eV/atom. The calculation puts the distance to the lowest polymorph of the same formula at 0 meV/atom. For the formation energy from raw total energies, the calculation gives -0.682 eV/atom.

It has space group R-3m (No. 166, hexagonal axes), with a = 2.6535 Å, b = 2.6535 Å, c = 29.0170 Å, α = 90.00°, β = 90.00° and γ = 120.00°. The inequivalent atoms are Tc at (0.0000, 0.0000, 0.0000), P at (0.0000, 0.0000, 0.5000) and F at (0.0000, 0.0000, 0.0652).

DFT (PBE-GGA) results for Ta2AgSb after structural relaxation.

As for the total energy: -7.37 eV/atom. For the formation energy from raw total energies, the calculation gives 0.297 eV/atom.

It has space group Imm2 (No. 44), with a = 3.590 Å, b = 4.673 Å, c = 9.052 Å, α = 90.00°, β = 90.00° and γ = 90.00°. The inequivalent atoms are Ta at (0.000, 0.000, 0.000), Ta at (0.000, 0.500, 0.262), Ag at (0.000, 0.500, 0.758) and Sb at (0.000, 0.000, 0.506).

DFT (PBE-GGA) results for Pa2HCl8 after structural relaxation.

As for the total energy: -4.98 eV/atom.

It has space group C2/m (No. 12), with a = 9.124 Å, b = 11.846 Å, c = 7.741 Å, α = 90.00°, β = 100.02° and γ = 90.00°. The inequivalent atoms are Pa at (0.103, 0.000, 0.277), H at (0.000, 0.000, 0.000), Cl at (0.080, 0.211, 0.253), Cl at (0.143, 0.500, 0.803) and Cl at (0.178, 0.000, 0.633).

DFT (PBE-GGA) results for TcIr3 after structural relaxation.

As for the total energy: -9.35 eV/atom. The calculation puts the formation energy at -0.1110 eV per atom.

It has space group Pm-3m (No. 221), with a = 3.869 Å, b = 3.869 Å, c = 3.869 Å, α = 90.00°, β = 90.00° and γ = 90.00°. The inequivalent atoms are Tc at (0.000, 0.000, 0.000) and Ir at (0.000, 0.500, 0.500).

DFT (PBE-GGA) results for Y2Tm5Co2 after structural relaxation.

As for the total energy: -5.60 eV/atom. The calculation puts the formation energy at -0.0990 eV per atom.

It has space group Cmce (No. 64), with a = 19.467 Å, b = 6.962 Å, c = 6.912 Å, α = 90.00°, β = 90.00° and γ = 90.00°. The inequivalent atoms are Y at (0.231, 0.000, 0.000), Tm at (0.000, 0.000, 0.000), Tm at (0.105, 0.180, 0.323) and Co at (0.000, 0.114, 0.611).

DFT (PBE-GGA) results for TbSm3Mg2 after structural relaxation.

As for the total energy: -3.71 eV/atom. The calculation puts the formation energy at -0.0516 eV per atom.

It has space group P4/mmm (No. 123), with a = 3.758 Å, b = 3.758 Å, c = 12.770 Å, α = 90.00°, β = 90.00° and γ = 90.00°. The inequivalent atoms are Tb at (0.000, 0.000, 0.000), Sm at (0.500, 0.500, 0.191), Sm at (0.500, 0.500, 0.500) and Mg at (0.000, 0.000, 0.346).

DFT (PBE-GGA) results for BaSrCr after structural relaxation.

As for the total energy: -3.74 eV/atom. The calculation puts the formation energy at 0.6683 eV per atom. The calculation puts the distance to the lowest polymorph of the same formula at 129 meV/atom.

It has space group P3m1 (No. 156), with a = 5.8077 Å, b = 5.8077 Å, c = 4.3230 Å, α = 90.00°, β = 90.00° and γ = 120.00°. The inequivalent atoms are Ba at (0.0000, 0.0000, 0.0000), Sr at (0.6667, 0.3333, 0.5567) and Cr at (0.3333, 0.6667, 0.3592).

DFT (PBE-GGA) results for Ta3Mo4W after structural relaxation.

As for the total energy: -11.19 eV/atom. The calculation puts the formation energy at 0.2904 eV per atom. The calculation puts the distance to the lowest polymorph of the same formula at 465 meV/atom.

It has space group Immm (No. 71), with a = 2.685 Å, b = 5.385 Å, c = 19.100 Å, α = 90.00°, β = 90.00° and γ = 90.00°. The inequivalent atoms are Ta at (0.000, 0.000, 0.000), Ta at (0.000, 0.500, 0.246), Mo at (0.000, 0.252, 0.376) and W at (0.000, 0.000, 0.500).

DFT (PBE-GGA) results for BaB2SbO8 after structural relaxation.

As for the total energy: -6.60 eV/atom. For the formation energy from raw total energies, the calculation gives -1.680 eV/atom.

It has space group P-3 (No. 147), with a = 4.8395 Å, b = 4.8395 Å, c = 7.5994 Å, α = 90.00°, β = 90.00° and γ = 120.00°. The inequivalent atoms are Ba at (0.0000, 0.0000, 0.0000), B at (0.3333, 0.6667, 0.7095), Sb at (0.0000, 0.0000, 0.5000), O at (0.0659, 0.3542, 0.6611) and O at (0.3333, 0.6667, 0.9038).

DFT (PBE-GGA) results for KRbLiCu2 after structural relaxation.

As for the total energy: -1.93 eV/atom. The calculation puts the formation energy at 0.5018 eV per atom.

It has space group P4/mmm (No. 123), with a = 5.172 Å, b = 5.172 Å, c = 5.655 Å, α = 90.00°, β = 90.00° and γ = 90.00°. The inequivalent atoms are K at (0.000, 0.000, 0.000), Rb at (0.500, 0.500, 0.000), Li at (0.500, 0.500, 0.500) and Cu at (0.000, 0.500, 0.500).

DFT (PBE-GGA) results for LaV3As after structural relaxation.

As for the total energy: -6.93 eV/atom. The calculation puts the formation energy at 0.4563 eV per atom. The calculation puts the distance to the lowest polymorph of the same formula at 0 meV/atom.

It has space group Pm-3m (No. 221), with a = 4.713 Å, b = 4.713 Å, c = 4.713 Å, α = 90.00°, β = 90.00° and γ = 90.00°. The inequivalent atoms are La at (0.000, 0.000, 0.000), V at (0.000, 0.500, 0.500) and As at (0.500, 0.500, 0.500).

DFT (PBE-GGA) results for CrNi2Ir after structural relaxation.

As for the total energy: -7.28 eV/atom. The calculation puts the formation energy at 0.2351 eV per atom.

It has space group Cmmm (No. 65), with a = 2.873 Å, b = 4.172 Å, c = 8.244 Å, α = 90.00°, β = 90.00° and γ = 90.00°. The inequivalent atoms are Cr at (0.000, 0.000, 0.000), Ni at (0.000, 0.500, 0.234) and Ir at (0.000, 0.000, 0.500).

DFT (PBE-GGA) results for BaTlTeBr after structural relaxation.

As for the total energy: -3.63 eV/atom. The calculation puts the distance to the lowest polymorph of the same formula at 0 meV/atom. For the formation energy from raw total energies, the calculation gives -1.358 eV/atom.

It has space group R-3m (No. 166, hexagonal axes), with a = 5.1010 Å, b = 5.1010 Å, c = 44.8703 Å, α = 90.00°, β = 90.00° and γ = 120.00°. The inequivalent atoms are Ba at (0.0000, 0.0000, 0.1102), Tl at (0.0000, 0.0000, 0.3040), Te at (0.0000, 0.0000, 0.3985) and Br at (0.0000, 0.0000, 0.1927).